PBE-GGA TlGa2Au8, optimized geometry; D(E_F) = 2.33 states/eV per cell; VASP energy = -3.2149 eV/atom
1.0
9.310 -1.601 0.000
9.310 1.601 0.000
-2.990 0.000 7.011
Tl Ga Au
1 2 8
direct
0.000 0.000 0.000
0.307 0.307 0.299
0.693 0.693 0.701
0.089 0.089 0.424
0.173 0.173 0.985
0.307 0.307 0.680
0.449 0.449 0.293
0.551 0.551 0.707
0.693 0.693 0.320
0.827 0.827 0.015
0.911 0.911 0.576